PBE-GGA ScIrRu2, optimized geometry; crystal system = cubic; E_tot = -8.468 eV/atom; ΔH_f (0 K) = -32 meV per atom; symmetry = Fm-3m
1.0
0.000 3.136 3.136
3.136 0.000 3.136
3.136 3.136 0.000
Sc Ru Ir
1 2 1
direct
0.000 0.000 0.000
0.250 0.250 0.250
0.750 0.750 0.750
0.500 0.500 0.500